--- one ---
A relaxed LiZrCl2 crystal. Source: the Alexandria database, functional PBE-GGA.

POSCAR file:
```
LiZrCl2
1.0
1.6716 0.9651 7.2712
-1.6716 0.9651 7.2712
0.0000 -1.9302 7.2712
Li Zr Cl
1 1 2
Cartesian
0.0000 0.0000 0.0000
0.0000 0.0000 10.9067
0.0000 0.0000 5.6753
0.0000 0.0000 16.1382
```

***

--- two ---
A relaxed LiZrCl2 crystal. Source: the Alexandria database, functional PBE-GGA.

POSCAR file:
```
LiZrCl2
1.0
1.5884 -3.1673 0.0000
1.5884 3.1673 0.0000
0.0000 0.0000 7.9077
Li Zr Cl
1 1 2
Cartesian
0.0000 0.0000 0.0000
0.0000 0.0000 3.9538
1.5884 0.0000 1.7567
1.5884 0.0000 6.1509
```

***

Which structure is most stable? one, by 0.060 eV/atom over the runner-up.

***

--- one ---
A relaxed Li2ZrCl6 crystal. Source: the Alexandria database, functional PBE-GGA.

POSCAR file:
```
Li2ZrCl6
1.0
6.4470 0.0000 0.0000
0.0000 6.1420 0.0000
-6.4420 0.0000 10.9193
Li Zr Cl
4 2 12
Cartesian
0.0011 0.0049 1.9287
-3.2199 3.0661 7.3883
3.2250 3.0758 3.5310
0.0040 6.1371 8.9906
3.2235 0.0000 0.0000
0.0025 3.0710 5.4596
-4.2720 1.4171 9.1480
-1.0510 1.6539 3.6884
-2.0655 4.4400 5.4639
1.1554 4.7729 0.0043
2.1712 1.4273 1.7634
-1.0498 1.6437 7.2230
1.0549 4.4983 3.6963
-2.1661 4.7147 9.1559
-1.1504 1.3690 10.9150
2.0706 1.7019 5.4554
1.0561 4.4881 7.2309
4.2771 4.7249 1.7713
```

***

--- two ---
A relaxed Li2ZrCl6 crystal. Source: the Alexandria database, functional PBE-GGA.

POSCAR file:
```
Li2ZrCl6
1.0
6.1283 0.0000 0.0000
0.0000 6.1283 0.0000
0.0000 0.0000 11.2700
Li Zr Cl
4 2 12
Cartesian
0.0000 0.0000 1.8751
0.0000 0.0000 9.3949
3.0641 3.0641 3.7599
3.0641 3.0641 7.5102
0.0000 0.0000 5.6350
3.0641 3.0641 0.0000
1.2009 1.2009 3.8174
1.2009 1.2009 7.4526
1.2876 1.2876 0.0000
1.7765 4.3517 5.6350
1.8632 4.2651 1.8176
1.8632 4.2651 9.4524
4.2651 1.8632 1.8176
4.2651 1.8632 9.4524
4.3517 1.7765 5.6350
4.8407 4.8407 0.0000
4.9274 4.9274 3.8174
4.9274 4.9274 7.4526
```

***

Which structure is most stable? one, by 0.012 eV/atom over the runner-up.

***

--- one ---
A relaxed Lu2OsCl crystal. Source: the Alexandria database, functional PBE-GGA.

POSCAR file:
```
Lu2OsCl
1.0
3.2999 0.0000 0.0000
0.0000 3.2999 0.0000
0.0000 0.0000 7.8880
Lu Os Cl
2 1 1
Cartesian
0.0000 0.0000 1.6414
0.0000 0.0000 6.2466
1.6500 1.6500 0.0000
1.6500 1.6500 3.9440
```

***

--- two ---
A relaxed Lu2OsCl crystal. Source: the Alexandria database, functional PBE-GGA.

POSCAR file:
```
Lu2OsCl
1.0
1.9358 1.1176 7.3748
-1.9358 1.1176 7.3748
0.0000 -2.2352 7.3748
Lu Os Cl
2 1 1
Cartesian
0.0000 0.0000 5.1942
0.0000 0.0000 16.9301
0.0000 0.0000 11.0622
0.0000 0.0000 0.0000
```

***

Which structure is most stable? one, by 0.152 eV/atom over the runner-up.

***

--- one ---
A relaxed Lu2TcCl crystal. Source: the Alexandria database, functional PBE-GGA.

POSCAR file:
```
Lu2TcCl
1.0
3.3616 0.0000 0.0000
0.0000 3.3616 0.0000
0.0000 0.0000 7.7163
Lu Tc Cl
2 1 1
Cartesian
0.0000 0.0000 1.6001
0.0000 0.0000 6.1162
1.6808 1.6808 0.0000
1.6808 1.6808 3.8581
```

***

--- two ---
A relaxed Lu2TcCl crystal. Source: the Alexandria database, functional PBE-GGA.

POSCAR file:
```
Lu2TcCl
1.0
1.7466 1.0084 8.2151
-1.7466 1.0084 8.2151
0.0000 -2.0169 8.2151
Lu Tc Cl
2 1 1
Cartesian
0.0000 0.0000 6.0105
0.0000 0.0000 18.6349
0.0000 0.0000 12.3227
0.0000 0.0000 0.0000
```

***

Which structure is most stable? one, by 0.052 eV/atom over the runner-up.

***

--- one ---
A relaxed MgCl5 crystal. Source: the Alexandria database, functional PBE-GGA.

POSCAR file:
```
MgCl5
1.0
3.2854 0.0000 0.0000
-1.3308 6.6650 0.0000
-0.3449 -1.2519 8.7846
Mg Cl
1 5
Cartesian
0.0000 0.0000 0.0000
-0.0199 1.0477 2.1696
-0.0410 3.4470 3.9202
-0.0428 4.8730 5.3638
0.3082 4.8950 0.2455
1.2947 0.0113 7.4498
```

***

--- two ---
A relaxed MgCl5 crystal. Source: the Alexandria database, functional PBE-GGA.

POSCAR file:
```
MgCl5
1.0
8.2116 0.0000 0.0000
0.0000 1.7571 6.0603
0.0000 -1.7571 6.0603
Mg Cl
1 5
Cartesian
0.0000 0.0000 0.0000
0.0000 0.0000 4.4485
0.0000 0.0000 7.6731
4.1058 0.0000 1.4621
4.1058 0.0000 5.4743
4.1058 0.0000 9.5186
```

***

--- three ---
A relaxed MgCl5 crystal. Source: the Alexandria database, functional PBE-GGA.

POSCAR file:
```
MgCl5
1.0
7.8065 -1.6356 0.0000
7.8065 1.6356 0.0000
-2.4136 0.0000 7.4089
Mg Cl
1 5
Cartesian
0.0000 0.0000 0.0000
3.9031 0.0000 1.7556
3.3803 0.0000 3.6653
7.7621 0.0000 1.8093
6.5365 0.0000 6.0085
10.9182 0.0000 6.5719
```

***

Which structure is most stable? one, by 0.019 eV/atom over the runner-up.

***

--- one ---
A relaxed MgCl5 crystal. Source: the Alexandria database, functional PBE-GGA.

POSCAR file:
```
MgCl5
1.0
3.7256 0.0000 0.0000
0.0000 5.0146 0.0000
-1.4890 0.0000 9.5110
Mg Cl
1 5
Cartesian
0.0000 0.0000 0.0000
0.3754 0.0000 7.8163
0.8784 2.5073 5.7120
1.3561 2.5073 3.7917
1.8601 0.0000 1.6855
2.2351 2.5073 9.4930
```

***

--- two ---
A relaxed MgCl5 crystal. Source: the Alexandria database, functional PBE-GGA.

POSCAR file:
```
MgCl5
1.0
0.0000 4.0562 4.0562
4.0562 0.0000 4.0562
4.0562 4.0562 0.0000
Mg Cl
1 5
Cartesian
0.0000 0.0000 0.0000
3.0404 3.0404 3.0404
5.0720 5.0720 3.0404
5.0720 3.0404 5.0720
6.0843 6.0843 6.0843
3.0404 5.0720 5.0720
```

***

--- three ---
A relaxed MgCl5 crystal. Source: the Alexandria database, functional PBE-GGA.

POSCAR file:
```
MgCl5
1.0
7.3972 0.0000 0.0000
-3.6986 6.4062 0.0000
0.0000 0.0000 3.4270
Mg Cl
1 5
Cartesian
0.0000 0.0000 0.0000
-2.7754 4.8072 1.7135
0.9232 1.5990 1.7135
0.0000 4.2708 0.0000
3.6986 2.1354 0.0000
5.5508 0.0000 1.7135
```

***

Which structure is most stable? one, by 0.389 eV/atom over the runner-up.

***

--- one ---
A relaxed MgMn2Cl6 crystal. Source: the Alexandria database, functional PBE-GGA.

POSCAR file:
```
MgMn2Cl6
1.0
6.1832 -1.9427 0.0000
6.1832 1.9427 0.0000
-1.0889 0.0000 10.3718
Mg Mn Cl
1 2 6
Cartesian
0.0000 0.0000 0.0000
3.2714 0.0000 2.7321
8.0060 0.0000 7.6398
0.9923 0.0000 2.2391
1.2487 0.0000 6.4052
4.5988 0.0000 0.6951
6.6786 0.0000 9.6767
10.0287 0.0000 3.9666
10.2851 0.0000 8.1328
```

***

--- two ---
A relaxed MgMn2Cl6 crystal. Source: the Alexandria database, functional PBE-GGA.

POSCAR file:
```
MgMn2Cl6
1.0
3.1878 1.8405 5.8570
-3.1878 1.8405 5.8570
0.0000 -3.6809 5.8570
Mg Mn Cl
1 2 6
Cartesian
0.0000 0.0000 0.0000
0.0000 0.0000 8.7163
0.0000 0.0000 11.9805
-1.0221 -1.8888 7.3899
-1.9752 -0.1082 10.3815
-1.1247 1.8296 7.3899
1.0813 -1.6565 10.3815
2.1468 0.0592 7.3899
0.8939 1.7647 10.3815
```

***

Which structure is most stable? two, by 0.012 eV/atom over the runner-up.

***

--- one ---
A relaxed MgMn3Cl crystal. Source: the Alexandria database, functional PBE-GGA.

POSCAR file:
```
MgMn3Cl
1.0
4.2936 0.0000 0.0000
0.0000 4.2936 0.0000
0.0000 0.0000 4.2936
Mg Mn Cl
1 3 1
Cartesian
0.0000 0.0000 0.0000
0.0000 2.1468 2.1468
2.1468 0.0000 2.1468
2.1468 2.1468 0.0000
2.1468 2.1468 2.1468
```

***

--- two ---
A relaxed MgMn3Cl crystal. Source: the Alexandria database, functional PBE-GGA.

POSCAR file:
```
MgMn3Cl
1.0
5.1555 0.0000 0.0000
0.0000 5.1555 0.0000
0.0000 0.0000 5.1555
Mg Mn Cl
1 3 1
Cartesian
0.0000 0.0000 0.0000
0.0000 0.0000 2.5777
0.0000 2.5777 0.0000
2.5777 0.0000 0.0000
2.5777 2.5777 2.5777
```

***

Which structure is most stable? one, by 0.595 eV/atom over the runner-up.

***

--- one ---
A relaxed MgMnCl4 crystal. Source: the Alexandria database, functional PBE-GGA.

POSCAR file:
```
MgMnCl4
1.0
-3.0780 3.0780 5.1079
3.0780 -3.0780 5.1079
3.0780 3.0780 -5.1079
Mg Mn Cl
1 1 4
Cartesian
0.0000 0.0000 0.0000
0.0000 3.0780 2.5539
4.6326 1.2670 -1.2940
1.2670 1.5233 1.2940
-1.5546 1.8110 3.8139
1.8110 1.5546 6.4019
```

***

--- two ---
A relaxed MgMnCl4 crystal. Source: the Alexandria database, functional PBE-GGA.

POSCAR file:
```
MgMnCl4
1.0
0.0000 4.1823 4.1823
4.1823 0.0000 4.1823
4.1823 4.1823 0.0000
Mg Mn Cl
1 1 4
Cartesian
0.0000 0.0000 0.0000
6.2734 6.2734 6.2734
3.1334 3.1334 3.1334
5.2312 5.2312 3.1334
5.2312 3.1334 5.2312
3.1334 5.2312 5.2312
```

***

Which structure is most stable? one, by 1.813 eV/atom over the runner-up.

***

--- one ---
A relaxed Na2MgMnCl crystal. Source: the Alexandria database, functional PBE-GGA.

POSCAR file:
```
Na2MgMnCl
1.0
5.0915 0.0000 0.0000
0.0000 5.0915 0.0000
0.0000 0.0000 5.5008
Na Mg Mn Cl
2 1 1 1
Cartesian
0.0000 2.5458 0.0000
2.5458 0.0000 0.0000
0.0000 0.0000 2.7504
2.5458 2.5458 2.7504
0.0000 0.0000 0.0000
```

***

--- two ---
A relaxed Na2MgMnCl crystal. Source: the Alexandria database, functional PBE-GGA.

POSCAR file:
```
Na2MgMnCl
1.0
5.8209 0.0000 0.0000
0.0000 5.8209 0.0000
0.0000 0.0000 5.3344
Na Mg Mn Cl
2 1 1 1
Cartesian
0.0000 2.9105 0.0000
2.9105 0.0000 0.0000
0.0000 0.0000 2.6672
0.0000 0.0000 0.0000
2.9105 2.9105 2.6672
```

***

Which structure is most stable? one, by 0.295 eV/atom over the runner-up.

***

--- one ---
A relaxed MgMnPCl2 crystal. Source: the Alexandria database, functional PBE-GGA.

POSCAR file:
```
MgMnPCl2
1.0
4.6015 0.0000 0.0000
0.0000 4.6015 0.0000
0.0000 0.0000 5.6511
Mg Mn P Cl
1 1 1 2
Cartesian
0.0000 0.0000 0.0000
2.3007 2.3007 2.8255
0.0000 0.0000 2.8255
0.0000 2.3007 0.0000
2.3007 0.0000 0.0000
```

***

--- two ---
A relaxed MgMnPCl2 crystal. Source: the Alexandria database, functional PBE-GGA.

POSCAR file:
```
MgMnPCl2
1.0
4.7506 0.0000 0.0000
0.0000 4.7506 0.0000
0.0000 0.0000 4.4381
Mg Mn P Cl
1 1 1 2
Cartesian
0.0000 0.0000 0.0000
2.3753 2.3753 2.2190
2.3753 2.3753 0.0000
0.0000 2.3753 2.2190
2.3753 0.0000 2.2190
```

***

Which structure is most stable? one, by 0.083 eV/atom over the runner-up.

***

--- one ---
A relaxed MgMnSCl2 crystal. Source: the Alexandria database, functional PBE-GGA.

POSCAR file:
```
MgMnSCl2
1.0
4.7738 0.0000 0.0000
0.0000 4.7738 0.0000
0.0000 0.0000 4.8774
Mg Mn S Cl
1 1 1 2
Cartesian
0.0000 0.0000 0.0000
2.3869 2.3869 2.4387
2.3869 2.3869 0.0000
0.0000 2.3869 2.4387
2.3869 0.0000 2.4387
```

***

--- two ---
A relaxed MgMnSCl2 crystal. Source: the Alexandria database, functional PBE-GGA.

POSCAR file:
```
MgMnSCl2
1.0
4.6427 0.0000 0.0000
0.0000 4.6427 0.0000
0.0000 0.0000 5.2491
Mg Mn S Cl
1 1 1 2
Cartesian
0.0000 0.0000 0.0000
2.3214 2.3214 2.6246
0.0000 0.0000 2.6246
0.0000 2.3214 0.0000
2.3214 0.0000 0.0000
```

***

Which structure is most stable? one, by 0.036 eV/atom over the runner-up.